An optimized crystal structure of PmHoMgPa. Source: Alexandria via LeMat-Bulk, functional PBE-GGA.

**Calculated formation energy**: 7.861 kcal/mol of atoms
**Space-group type**: F-43m, No. 216

abc: 5.4132 5.4132 5.4132
angles: 60.00 60.00 60.00
Last column: nearest neighbours and their distance in Å.
Atoms (fractional coordinates):
Pm  0.0000  0.0000  0.0000  4 Pa 3.31, 4 Mg 3.31
Ho  0.5000  0.5000  0.5000  4 Mg 3.31, 4 Pa 3.31
Mg  0.2500  0.2500  0.2500  4 Ho 3.31, 4 Pm 3.31
Pa  0.7500  0.7500  0.7500  4 Ho 3.31, 4 Pm 3.31

An optimized crystal structure of Hf3Ga4Re. Source: Alexandria via LeMat-Bulk, functional PBE-GGA.

**Calculated formation energy**: -2.911 kcal/mol of atoms
**Space-group type**: Immm, No. 71

abc: 9.7644 9.7644 9.7644
angles: 162.87 147.96 36.55
Last column: nearest neighbours and their distance in Å.
Atoms (fractional coordinates):
Hf  0.0000  0.0000  0.0000  2 Hf 2.91, 8 Ga 3.00, 4 Re 3.06
Hf  0.2565  0.7565  0.5000  6 Ga 2.84-3.01, 6 Hf 2.91-3.07
Hf  0.7435  0.2435  0.5000  6 Ga 2.84-3.01, 6 Hf 2.91-3.07
Ga  0.1285  0.3784  0.7501  1 Re 2.63, 4 Ga 2.69-2.91, 1 Hf 2.84
Ga  0.3717  0.6216  0.7501  1 Re 2.63, 4 Ga 2.69-2.91, 1 Hf 2.84
Ga  0.6283  0.3784  0.2499  1 Re 2.63, 4 Ga 2.69-2.91, 1 Hf 2.84
Ga  0.8715  0.6216  0.2499  1 Re 2.63, 4 Ga 2.69-2.91, 1 Hf 2.84
Re  0.5000  0.5000  0.0000  4 Ga 2.63, 2 Re 2.91

| no. | size of the total moment (μB/f.u.) |
| --- | --- |
| 1 | 0.00 |
| 2 | 0.00 |